Crystalline Al2Ir2Br at its relaxed geometry. Source: Alexandria, functional PBE.

a = 6.566 Å, b = 6.566 Å, c = 6.566 Å
α = 145.70°, β = 145.70°, γ = 49.30°
Sites, in units of the cell vectors:
Al 0.250 0.750 0.500
Al 0.750 0.250 0.500
Ir 0.119 0.119 0.000
Ir 0.881 0.881 0.000
Br 0.500 0.500 0.000

Summary:
Magnetic moment = 0.001 μB per cell
Formation energy without anion corrections = -0.084 eV/atom
Distance to the lowest polymorph of the same formula = 0.1909 eV/atom